[1]
Cs2Rb6Pb (PBE, optimized geometry); total magnetic moment = 0.000 μB per atom; crystal system = monoclinic; space group = No. 12; energy of formation = 0.005 eV/atom
1.0
8.930 -5.158 0.000
8.930 5.158 0.000
-5.956 0.000 8.424
Cs Rb Pb
2 6 1
Cartesian
2.977 0.000 2.103 Cs
8.926 0.000 6.320 Cs
-0.020 0.000 6.298 Rb
7.429 2.596 2.119 Rb
4.474 2.596 6.305 Rb
7.429 -2.596 2.119 Rb
4.474 -2.596 6.305 Rb
11.923 0.000 2.126 Rb
8.930 0.000 0.000 Pb



[2]
Cs3RbPb (PBE, optimized geometry); excess energy over the best structure of this formula in the dataset = 0 kJ/mol of formula units; total magnetic moment = 0.000 μB per atom; crystal system = triclinic; space group = No. 1; energy of formation = -0.065 eV/atom
1.0
5.116 0.000 0.000
-2.532 11.996 0.000
-0.025 -0.812 13.364
Cs Rb Pb
6 2 2
Cartesian
0.000 0.000 0.000 Cs
-0.028 2.628 8.890 Cs
0.003 7.868 10.701 Cs
0.002 11.311 6.229 Cs
2.537 3.496 12.965 Cs
2.563 7.001 6.630 Cs
0.003 3.308 3.925 Rb
0.009 8.001 2.304 Rb
2.531 -0.011 10.375 Pb
2.558 10.511 9.222 Pb



[3]
CsRb4Pb (PBE, optimized geometry); total magnetic moment = 0.000 μB per atom; crystal system = monoclinic; space group = No. 12; energy of formation = -0.028 eV/atom
1.0
11.686 -5.181 0.000
11.686 5.181 0.000
-2.905 0.000 7.720
Cs Rb Pb
2 8 2
Cartesian
4.298 0.000 1.614 Cs
16.170 0.000 6.105 Cs
8.040 2.722 3.036 Rb
11.686 2.878 0.000 Rb
12.428 2.722 4.684 Rb
5.759 0.000 6.579 Rb
14.709 0.000 1.140 Rb
8.040 -2.722 3.036 Rb
11.686 -2.878 0.000 Rb
12.428 -2.722 4.684 Rb
10.771 0.000 2.425 Pb
9.697 0.000 5.295 Pb



[4]
CsRbPb2 (PBE, optimized geometry); excess energy over the best structure of this formula in the dataset = 105 kJ/mol of formula units; total magnetic moment = 0.000 μB per atom; crystal system = cubic; space group = No. 225; energy of formation = 0.143 eV/atom
1.0
0.000 4.477 4.477
4.477 0.000 4.477
4.477 4.477 0.000
Cs Rb Pb
1 1 2
Cartesian
0.000 0.000 0.000 Cs
4.477 4.477 4.477 Rb
2.239 2.239 2.239 Pb
6.716 6.716 6.716 Pb



[5]
Cs8Rb6Pb (PBE, optimized geometry); total magnetic moment = 0.000 μB per atom; crystal system = trigonal; space group = No. 147; energy of formation = -0.006 eV/atom
1.0
14.033 0.000 0.000
-7.017 12.153 0.000
0.000 0.000 8.469
Cs Rb Pb
8 6 1
Cartesian
-1.045 2.968 2.131 Cs
-3.924 11.574 2.131 Cs
2.048 2.388 6.338 Cs
0.000 8.102 2.106 Cs
7.017 4.051 6.363 Cs
4.969 9.765 2.131 Cs
10.941 0.579 6.338 Cs
8.061 9.185 6.338 Cs
-2.028 5.888 6.350 Rb
-0.903 10.965 6.350 Rb
4.085 4.701 2.119 Rb
2.931 7.452 6.350 Rb
7.919 1.188 2.119 Rb
9.045 6.265 2.119 Rb
0.000 0.000 4.235 Pb



[6]
Cs6Rb9Pb (PBE, optimized geometry); total magnetic moment = 0.000 μB per atom; crystal system = tetragonal; space group = No. 87; energy of formation = 0.000 eV/atom
1.0
-5.817 5.817 10.992
5.817 -5.817 10.992
5.817 5.817 -10.992
Cs Rb Pb
6 9 1
Cartesian
3.564 1.220 0.000 Cs
0.000 0.000 3.771 Cs
4.597 -2.252 10.992 Cs
1.220 8.069 0.000 Cs
0.000 0.000 18.212 Cs
2.252 4.597 10.992 Cs
6.990 2.340 -3.722 Rb
2.340 4.643 -3.722 Rb
6.990 2.340 3.722 Rb
3.477 1.173 7.270 Rb
0.000 0.000 10.992 Rb
2.340 4.643 3.722 Rb
-1.173 3.477 7.270 Rb
3.477 1.173 14.714 Rb
-1.173 3.477 14.714 Rb
0.000 0.000 0.000 Pb